[1]
Pm2BrO | PBE | optimized geometry

Cell: 7.6065 7.6065 7.6065 Å, 28.03 28.03 28.03°
Fractional coordinates of all 4 atoms:
Pm 0.2266 0.2266 0.2266
Pm 0.7734 0.7734 0.7734
Br 0.0000 0.0000 0.0000
O 0.5000 0.5000 0.5000

Computed properties:
Uncorrected energy ... -23.56 eV for the cell shown
SG ... R-3m
Formation energy (no corrections) ... -1.858 eV/atom

***

[2]
CePuPbAu | PBE | optimized geometry

Cell: 5.3682 5.3682 5.3682 Å, 60.00 60.00 60.00°
Fractional coordinates of all 4 atoms:
Ce 0.0000 0.0000 0.0000
Pu 0.5000 0.5000 0.5000
Pb 0.2500 0.2500 0.2500
Au 0.7500 0.7500 0.7500

Computed properties:
Uncorrected energy ... -28.64 eV for the cell shown
SG ... F-43m
Energy of formation ... -0.346 eV/atom

***

[3]
CrAuS3 | PBE | optimized geometry

Cell: 4.7683 4.7683 4.7683 Å, 87.90 87.90 87.90°
Fractional coordinates of all 5 atoms:
Cr 0.0000 0.0000 0.0000
Au 0.4152 0.4152 0.4152
S 0.0630 0.0630 0.5544
S 0.0630 0.5544 0.0630
S 0.5544 0.0630 0.0630

Computed properties:
Uncorrected energy ... -24.33 eV for the cell shown
SG ... R3m
Formation energy (no corrections) ... 0.191 eV/atom

***

[4]
Sb4TeP | PBE | optimized geometry

Cell: 6.1662 6.1662 6.1662 Å, 60.00 60.00 60.00°
Fractional coordinates of all 6 atoms:
Sb 0.1252 0.1252 0.1252
Sb 0.1252 0.1252 0.6245
Sb 0.1252 0.6245 0.1252
Sb 0.6245 0.1252 0.1252
Te 0.7500 0.7500 0.7500
P 0.5000 0.5000 0.5000

Computed properties:
Uncorrected energy ... -20.86 eV for the cell shown
SG ... F-43m
Formation energy (no corrections) ... 0.697 eV/atom

***

[5]
Ce2Pu4Ge3H2 | PBE | optimized geometry

Cell: 16.0896 16.0896 16.0896 Å, 167.50 167.50 17.71°
Fractional coordinates of all 11 atoms:
Ce 0.0772 0.0772 0.0000
Ce 0.9228 0.9228 0.0000
Pu 0.1535 0.6535 0.5000
Pu 0.3465 0.8465 0.5000
Pu 0.6535 0.1535 0.5000
Pu 0.8465 0.3465 0.5000
Ge 0.2707 0.2707 0.0000
Ge 0.5000 0.5000 0.0000
Ge 0.7293 0.7293 0.0000
H 0.0119 0.0119 0.0000
H 0.9881 0.9881 0.0000

Computed properties:
Uncorrected energy ... -84.62 eV for the cell shown
SG ... I4/mmm

***

[6]
IBrF2 | PBE | optimized geometry

Cell: 4.5665 4.5665 4.5665 Å, 60.00 60.00 60.00°
Fractional coordinates of all 4 atoms:
I 0.0000 0.0000 0.0000
Br 0.5000 0.5000 0.5000
F 0.2500 0.2500 0.2500
F 0.7500 0.7500 0.7500

Computed properties:
Uncorrected energy ... -7.21 eV for the cell shown
SG ... Fm-3m
Formation energy (no corrections) ... -0.061 eV/atom

***

[7]
AlCd2 | PBE | optimized geometry

Cell: 7.0812 7.0812 4.3084 Å, 90.00 90.00 144.45°
Fractional coordinates of all 6 atoms:
Al 0.0774 0.9226 0.7500
Al 0.9226 0.0774 0.2500
Cd 0.2499 0.7501 0.2500
Cd 0.4162 0.5838 0.7500
Cd 0.5838 0.4162 0.2500
Cd 0.7501 0.2499 0.7500

Computed properties:
Uncorrected energy ... -10.32 eV for the cell shown
SG ... Cmcm
Energy of formation ... 0.137 eV/atom

***

[8]
SrCr2Pt | PBE | optimized geometry

Cell: 5.3073 5.3073 5.3073 Å, 130.95 130.95 71.90°
Fractional coordinates of all 4 atoms:
Sr 0.0000 0.0000 0.0000
Cr 0.2500 0.7500 0.5000
Cr 0.7500 0.2500 0.5000
Pt 0.5000 0.5000 0.0000

Computed properties:
Uncorrected energy ... -25.03 eV for the cell shown
SG ... I4/mmm
Energy of formation ... 0.484 eV/atom

***

[9]
TlTcPt | PBE | optimized geometry

Cell: 2.9752 2.9752 6.9655 Å, 90.00 90.00 120.00°
Fractional coordinates of all 3 atoms:
Tl 0.0000 0.0000 0.0000
Tc 0.3333 0.6667 0.6499
Pt 0.6667 0.3333 0.3567

Computed properties:
Uncorrected energy ... -17.57 eV for the cell shown
SG ... P3m1
Energy of formation ... 0.400 eV/atom

***

[10]
RbZrAu2 | PBE | optimized geometry

Cell: 3.5479 3.5479 8.3884 Å, 90.00 90.00 90.00°
Fractional coordinates of all 4 atoms:
Rb 0.0000 0.0000 0.0000
Zr 0.0000 0.0000 0.5000
Au 0.5000 0.5000 0.3234
Au 0.5000 0.5000 0.6766

Computed properties:
Uncorrected energy ... -17.17 eV for the cell shown
SG ... P4/mmm
Energy of formation ... -0.274 eV/atom

***

[11]
K5S | PBE | optimized geometry

Cell: 15.2928 15.2928 4.1957 Å, 90.00 90.00 160.52°
Fractional coordinates of all 6 atoms:
K 0.0000 0.0000 0.0000
K 0.1917 0.8083 0.5000
K 0.4211 0.5789 0.0000
K 0.5789 0.4211 0.0000
K 0.8083 0.1917 0.5000
S 0.5000 0.5000 0.5000

Computed properties:
Uncorrected energy ... -12.20 eV for the cell shown
SG ... Cmmm
Formation energy (no corrections) ... -0.430 eV/atom

***

[12]
K2BF6 | PBE | optimized geometry

Cell: 5.6938 5.6938 5.6973 Å, 119.93 119.93 60.18°
Fractional coordinates of all 9 atoms:
K 0.2503 0.2503 0.2499
K 0.7497 0.7497 0.7501
B 0.0000 0.0000 0.5000
F 0.2005 0.7992 0.7009
F 0.2010 0.2010 0.7007
F 0.2008 0.7995 0.2991
F 0.7992 0.2005 0.7009
F 0.7990 0.7990 0.2993
F 0.7995 0.2008 0.2991

Computed properties:
Uncorrected energy ... -40.91 eV for the cell shown
SG ... C2/m
Formation energy (no corrections) ... -2.312 eV/atom